KPbSe3: optimized geometry, PBE-GGA.

Lattice parameters (Å, degrees): 5.6450 5.6450 5.6450 90.00 90.00 90.00
Last column: nearest neighbours and their distance in Å.
Space group Pm-3m (No. 221)
Symmetry-distinct sites (fractional):
K 0.0000 0.0000 0.0000 (multiplicity 1)  6 Se 2.82
Pb 0.5000 0.5000 0.5000 (multiplicity 1)  12 Se 3.99
Se 0.0000 0.0000 0.5000 (multiplicity 3)  2 K 2.82

VASP energy ... -2.4744 eV/atom
Energy relative to the elements, uncorrected ... 0.577 eV/atom